Model i:
Material: CePu3Ga8
Method: DFT, PBE
State: relaxed

Lattice parameters (Å, degrees): 5.5285 5.5285 26.8675 90.00 90.00 120.00
Space group R3m (No. 160, hexagonal axes)
Symmetry-distinct sites (fractional):
Ce  0.0000  0.0000  0.0000
Pu  0.0000  0.0000  0.3765
Pu  0.0000  0.0000  0.4991
Pu  0.0000  0.0000  0.8750
Ga  0.0000  0.0000  0.1880
Ga  0.0000  0.0000  0.6878
Ga  0.0002  0.5001  0.4381
Ga  0.0001  0.5001  0.9375

Model ii:
Material: CePu3Ga8
Method: DFT, PBE
State: relaxed

Lattice parameters (Å, degrees): 5.6185 5.6185 8.6863 90.00 90.00 120.00
Space group P3m1 (No. 156)
Symmetry-distinct sites (fractional):
Ce  0.0000  0.0000  0.0000
Pu  0.0000  0.0000  0.3291
Pu  0.6667  0.3333  0.4935
Pu  0.6667  0.3333  0.8336
Ga  0.1583  0.3167  0.6617
Ga  0.3333  0.6667  0.4135
Ga  0.3333  0.6667  0.9137
Ga  0.5086  0.0173  0.1665

Which structure is the least stable? The one labeled model ii.

Model i:
Material: Ce2PuGa3
Method: DFT, PBE
State: relaxed

Lattice parameters (Å, degrees): 3.210 3.210 13.039 90.00 90.00 90.00
Space group P4/mmm (No. 123)
Symmetry-distinct sites (fractional):
Ce  0.000  0.000  0.167
Pu  0.000  0.000  0.500
Ga  0.500  0.500  0.000
Ga  0.500  0.500  0.336

Model ii:
Material: Ce2PuGa3
Method: DFT, PBE
State: relaxed

Lattice parameters (Å, degrees): 6.758 9.602 16.412 90.00 90.00 90.00
Space group Fmmm (No. 69)
Symmetry-distinct sites (fractional):
Ce  0.232  0.000  0.000
Ce  0.250  0.250  0.250
Pu  0.000  0.000  0.167
Ga  0.000  0.000  0.342
Ga  0.000  0.235  0.420

Which structure is the least stable? The one labeled model ii.

Model i:
Material: CePuGaRh
Method: DFT, PBE
State: relaxed

Lattice parameters (Å, degrees): 4.7356 4.7356 5.0447 90.00 90.00 120.00
Space group P3m1 (No. 156)
Symmetry-distinct sites (fractional):
Ce  0.0000  0.0000  0.0000
Pu  0.3333  0.6667  0.5669
Ga  0.6667  0.3333  0.2836
Rh  0.6667  0.3333  0.7819

Model ii:
Material: CePuGaRh
Method: DFT, PBE
State: relaxed

Lattice parameters (Å, degrees): 6.802 6.802 6.802 90.00 90.00 90.00
Space group F-43m (No. 216)
Symmetry-distinct sites (fractional):
Ce  0.000  0.000  0.000
Pu  0.250  0.250  0.250
Ga  0.250  0.250  0.750
Rh  0.000  0.000  0.500

Which structure is the least stable? The one labeled model i.

Model i:
Material: CePuGaSn
Method: DFT, PBE
State: relaxed

Lattice parameters (Å, degrees): 7.450 7.450 7.450 90.00 90.00 90.00
Space group F-43m (No. 216)
Symmetry-distinct sites (fractional):
Ce  0.000  0.000  0.000
Pu  0.000  0.000  0.500
Ga  0.250  0.250  0.250
Sn  0.250  0.250  0.750

Model ii:
Material: CePuGaSn
Method: DFT, PBE
State: relaxed

Lattice parameters (Å, degrees): 4.565 4.657 4.660 90.00 90.00 90.00
Space group Pmmm (No. 47)
Symmetry-distinct sites (fractional):
Ce  0.000  0.000  0.000
Pu  0.000  0.500  0.500
Ga  0.500  0.000  0.500
Sn  0.500  0.500  0.000

Which structure is the least stable? The one labeled model i.

Model i:
Material: Ce3GaRh
Method: DFT, PBE
State: relaxed

Lattice parameters (Å, degrees): 5.331 6.386 7.088 90.00 97.10 90.00
Space group P2_1/m (No. 11)
Symmetry-distinct sites (fractional):
Ce  0.156  0.250  0.109
Ce  0.343  0.027  0.641
Ga  0.146  0.750  0.290
Rh  0.354  0.750  0.968

Model ii:
Material: Ce3GaRh
Method: DFT, PBE
State: relaxed

Lattice parameters (Å, degrees): 13.065 4.576 7.854 90.00 98.11 90.00
Space group C2/m (No. 12)
Symmetry-distinct sites (fractional):
Ce  0.031  0.000  0.310
Ce  0.062  0.500  0.874
Ce  0.247  0.500  0.315
Ga  0.185  0.000  0.050
Rh  0.114  0.500  0.530

Which structure is the least stable? The one labeled model ii.

Model i:
Material: Ce3Ga2Rh3
Method: DFT, PBE
State: relaxed

Lattice parameters (Å, degrees): 5.4326 5.4326 19.1589 90.00 90.00 120.00
Space group R-3m (No. 166, hexagonal axes)
Symmetry-distinct sites (fractional):
Ce  0.0000  0.0000  0.0000
Ce  0.0000  0.0000  0.4255
Ga  0.0000  0.0000  0.2722
Rh  0.0000  0.5000  0.5000

Model ii:
Material: Ce3Ga2Rh3
Method: DFT, PBE
State: relaxed

Lattice parameters (Å, degrees): 7.360 15.424 5.817 90.00 90.00 90.00
Space group Pnma (No. 62)
Symmetry-distinct sites (fractional):
Ce  0.037  0.104  0.153
Ce  0.187  0.250  0.596
Ga  0.107  0.607  0.347
Rh  0.177  0.750  0.598
Rh  0.195  0.032  0.560

Which structure is the least stable? The one labeled model i.

Model i:
Material: Ce2Ga2Rh
Method: DFT, PBE
State: relaxed

Lattice parameters (Å, degrees): 4.3264 4.3264 8.0752 90.00 90.00 120.00
Space group P-3m1 (No. 164)
Symmetry-distinct sites (fractional):
Ce  0.0000  0.0000  0.1747
Ga  0.3333  0.6667  0.5850
Rh  0.0000  0.0000  0.5000

Model ii:
Material: Ce2Ga2Rh
Method: DFT, PBE
State: relaxed

Lattice parameters (Å, degrees): 11.407 4.638 8.590 90.00 110.35 90.00
Space group C2/m (No. 12)
Symmetry-distinct sites (fractional):
Ce  0.122  0.000  0.395
Ce  0.147  0.000  0.991
Ga  0.050  0.500  0.156
Ga  0.098  0.500  0.667
Rh  0.209  0.000  0.707

Which structure is the least stable? The one labeled model i.

Model i:
Material: CeGa3Rh
Method: DFT, PBE
State: relaxed

Lattice parameters (Å, degrees): 8.383 4.271 10.705 90.00 90.00 90.00
Space group Pnma (No. 62)
Symmetry-distinct sites (fractional):
Ce  0.200  0.250  0.015
Ga  0.060  0.250  0.592
Ga  0.107  0.750  0.805
Ga  0.143  0.750  0.213
Rh  0.105  0.250  0.354

Model ii:
Material: CeGa3Rh
Method: DFT, PBE
State: relaxed

Lattice parameters (Å, degrees): 6.506 6.506 6.506 90.00 90.00 90.00
Space group Pm-3m (No. 221)
Symmetry-distinct sites (fractional):
Ce  0.000  0.000  0.500
Ga  0.000  0.000  0.000
Ga  0.290  0.290  0.290
Rh  0.000  0.500  0.500

Which structure is the least stable? The one labeled model i.

Model i:
Material: Ce3Ga4Rh2
Method: DFT, PBE
State: relaxed

Lattice parameters (Å, degrees): 10.904 4.379 8.476 90.00 114.54 90.00
Space group C2/m (No. 12)
Symmetry-distinct sites (fractional):
Ce  0.000  0.000  0.000
Ce  0.185  0.500  0.637
Ga  0.014  0.000  0.354
Ga  0.241  0.500  0.079
Rh  0.104  0.500  0.270

Model ii:
Material: Ce3Ga4Rh2
Method: DFT, PBE
State: relaxed

Lattice parameters (Å, degrees): 10.613 4.473 8.292 90.00 105.43 90.00
Space group C2/m (No. 12)
Symmetry-distinct sites (fractional):
Ce  0.000  0.000  0.000
Ce  0.127  0.500  0.695
Ga  0.090  0.000  0.402
Ga  0.215  0.500  0.075
Rh  0.187  0.500  0.369

Which structure is the least stable? The one labeled model ii.

Model i:
Material: CeGaRuRh
Method: DFT, PBE
State: relaxed

Lattice parameters (Å, degrees): 6.526 6.526 6.526 90.00 90.00 90.00
Space group F-43m (No. 216)
Symmetry-distinct sites (fractional):
Ce  0.000  0.000  0.000
Ga  0.000  0.000  0.500
Ru  0.250  0.250  0.250
Rh  0.250  0.250  0.750

Model ii:
Material: CeGaRuRh
Method: DFT, PBE
State: relaxed

Lattice parameters (Å, degrees): 3.617 4.197 4.503 90.00 90.00 90.00
Space group Pmmm (No. 47)
Symmetry-distinct sites (fractional):
Ce  0.000  0.000  0.000
Ga  0.000  0.500  0.500
Ru  0.500  0.500  0.000
Rh  0.500  0.000  0.500

Which structure is the least stable? The one labeled model i.

Model i:
Material: CeSmGaRh
Method: DFT, PBE
State: relaxed

Lattice parameters (Å, degrees): 3.860 4.235 11.517 90.00 90.00 90.00
Space group Amm2 (No. 38)
Symmetry-distinct sites (fractional):
Ce  0.000  0.000  0.000
Sm  0.500  0.000  0.720
Ga  0.000  0.000  0.299
Rh  0.500  0.000  0.460

Model ii:
Material: CeSmGaRh
Method: DFT, PBE
State: relaxed

Lattice parameters (Å, degrees): 7.153 7.153 7.153 90.00 90.00 90.00
Space group F-43m (No. 216)
Symmetry-distinct sites (fractional):
Ce  0.000  0.000  0.000
Sm  0.000  0.000  0.500
Ga  0.250  0.250  0.750
Rh  0.250  0.250  0.250

Which structure is the least stable? The one labeled model ii.

Model i:
Material: CeYGaRh
Method: DFT, PBE
State: relaxed

Lattice parameters (Å, degrees): 7.092 7.092 7.092 90.00 90.00 90.00
Space group F-43m (No. 216)
Symmetry-distinct sites (fractional):
Ce  0.000  0.000  0.000
Y  0.000  0.000  0.500
Ga  0.250  0.250  0.250
Rh  0.250  0.250  0.750

Model ii:
Material: CeYGaRh
Method: DFT, PBE
State: relaxed

Lattice parameters (Å, degrees): 3.839 4.201 11.376 90.00 90.00 90.00
Space group Amm2 (No. 38)
Symmetry-distinct sites (fractional):
Ce  0.000  0.000  0.000
Y  0.500  0.000  0.720
Ga  0.000  0.000  0.294
Rh  0.500  0.000  0.459

Which structure is the least stable? The one labeled model i.